# TlTeRu2S

An optimized crystal structure of TlTeRu2S (PBE-GGA, Alexandria via LeMat-Bulk).

The structure in CIF format:
```
data_TlTeRu2S
_chemical_formula_sum 'Tl1 Te1 Ru2 S1'
_symmetry_space_group_name_H-M 'P 4/m m m'
_symmetry_Int_Tables_number 123
_symmetry_space_group_name_Hall '-P 4 2'
_cell_length_a 4.403
_cell_length_b 4.403
_cell_length_c 5.886
_cell_angle_alpha 90.00
_cell_angle_beta 90.00
_cell_angle_gamma 90.00
loop_
_atom_site_label
_atom_site_fract_x
_atom_site_fract_y
_atom_site_fract_z
Tl1 0.000 0.000 0.000
Te1 0.500 0.500 0.000
Ru1 0.000 0.500 0.500
S1 0.500 0.500 0.500
```

# YTe2RuS

An optimized crystal structure of YTe2RuS (PBE-GGA, Alexandria via LeMat-Bulk).

Computed properties:
Excess energy over the best structure of this formula in the dataset in meV per atom: 338.7

The structure in CIF format:
```
data_YTe2RuS
_chemical_formula_sum 'Y1 Te2 Ru1 S1'
_symmetry_space_group_name_H-M 'P 4/m m m'
_symmetry_Int_Tables_number 123
_symmetry_space_group_name_Hall '-P 4 2'
_cell_length_a 4.940
_cell_length_b 4.940
_cell_length_c 5.710
_cell_angle_alpha 90.00
_cell_angle_beta 90.00
_cell_angle_gamma 90.00
loop_
_atom_site_label
_atom_site_fract_x
_atom_site_fract_y
_atom_site_fract_z
Y1 0.000 0.000 0.000
Te1 0.000 0.500 0.500
Ru1 0.000 0.000 0.500
S1 0.500 0.500 0.000
```

| no. | formation energy from raw total energies (meV per atom) |
| --- | --- |
| 1 | 714 |
| 2 | -16 |